# Dy8TmSc2 (PBE-GGA, optimized geometry)
# Crystal system: monoclinic
# Energy of formation in eV per atom: 0.1720
# Total moment in μB per cell: 0.00
# DFT total energy in eV/atom: -4.733
data_Dy8TmSc2
_chemical_formula_sum 'Dy16 Tm2 Sc4'
_cell_length_a 8.838
_cell_length_b 15.850
_cell_length_c 5.753
_cell_angle_alpha 90.00
_cell_angle_beta 123.44
_cell_angle_gamma 90.00
_symmetry_space_group_name_H-M 'C 1 2/m 1'
_symmetry_Int_Tables_number 12
_symmetry_space_group_name_Hall '-C 2y'
loop_
_atom_site_label
_atom_site_fract_x
_atom_site_fract_y
_atom_site_fract_z
_atom_site_occupancy
Dy1 0.000 0.207 0.000 1
Dy2 0.071 0.500 0.793 1
Dy3 0.217 0.121 0.676 1
Tm1 0.000 0.000 0.000 1
Sc1 0.000 0.310 0.500 1